CeTaOs: optimized geometry, PBE.

Properties
Total moment ... 0.176 μB/atom
V ... 22.97 Å³/atom
ρ ... 12.32 g/cm³
D(E_F) ... 33.0 states/eV per cell
ΔE_f ... 0.367 eV/atom

Unit cell a=4.3156 b=4.3156 c=25.6310 alpha=90.00 beta=90.00 gamma=120.00
Space group R-3m (No. 166, hexagonal axes)
Inequivalent atoms, fractional coordinates:
1 Ce 0.0000 0.0000 0.1327 x6
2 Ta 0.0000 0.0000 0.2740 x6
3 Os 0.0000 0.0000 0.3762 x6

CeTa4Os5: optimized geometry, PBE.

Properties
Total moment ... 0.000 μB/atom
V ... 17.14 Å³/atom
ρ ... 17.58 g/cm³
D(E_F) ... 4.7 states/eV per cell
ΔE_f ... -0.298 eV/atom

Unit cell a=3.129 b=3.129 c=17.514 alpha=90.00 beta=90.00 gamma=90.00
Space group P4/mmm (No. 123)
Inequivalent atoms, fractional coordinates:
1 Ce 0.000 0.000 0.000 x1
2 Ta 0.000 0.000 0.212 x2
3 Ta 0.000 0.000 0.404 x2
4 Os 0.500 0.500 0.127 x2
5 Os 0.500 0.500 0.311 x2
6 Os 0.500 0.500 0.500 x1

CeTa2Os3: optimized geometry, PBE.

Properties
Total moment ... 0.000 μB/atom
V ... 17.78 Å³/atom
ρ ... 16.70 g/cm³
D(E_F) ... 3.2 states/eV per cell
ΔE_f ... -0.326 eV/atom

Unit cell a=3.140 b=3.140 c=10.817 alpha=90.00 beta=90.00 gamma=90.00
Space group P4/mmm (No. 123)
Inequivalent atoms, fractional coordinates:
1 Ce 0.000 0.000 0.000 x1
2 Ta 0.000 0.000 0.343 x2
3 Os 0.500 0.500 0.207 x2
4 Os 0.500 0.500 0.500 x1

CeTaOs: optimized geometry, PBE.

Properties
Total moment ... 0.000 μB/atom
V ... 20.35 Å³/atom
ρ ... 13.91 g/cm³
D(E_F) ... 10.8 states/eV per cell
ΔE_f ... -0.072 eV/atom

Unit cell a=3.170 b=3.170 c=12.145 alpha=90.00 beta=90.00 gamma=90.00
Space group I4mm (No. 107)
Inequivalent atoms, fractional coordinates:
1 Ce 0.000 0.000 0.000 x2
2 Ta 0.000 0.000 0.296 x2
3 Os 0.000 0.000 0.681 x2

CeTa2Os2: optimized geometry, PBE.

Properties
Total moment ... 0.142 μB/atom
V ... 20.93 Å³/atom
ρ ... 14.00 g/cm³
D(E_F) ... 15.4 states/eV per cell
ΔE_f ... -0.242 eV/atom

Unit cell a=4.387 b=4.387 c=10.872 alpha=90.00 beta=90.00 gamma=90.00
Space group I4/mmm (No. 139)
Inequivalent atoms, fractional coordinates:
1 Ce 0.000 0.000 0.000 x2
2 Ta 0.000 0.500 0.250 x4
3 Os 0.000 0.000 0.380 x4

Tb2CeOs: optimized geometry, PBE.

Properties
Total moment ... 0.119 μB/atom
V ... 27.38 Å³/atom
ρ ... 9.83 g/cm³
D(E_F) ... 26.4 states/eV per cell
ΔE_f ... -0.221 eV/atom

Unit cell a=7.223 b=9.477 c=6.401 alpha=90.00 beta=90.00 gamma=90.00
Space group Pnma (No. 62)
Inequivalent atoms, fractional coordinates:
1 Tb 0.172 0.065 0.170 x8
2 Ce 0.051 0.250 0.649 x4
3 Os 0.130 0.750 0.978 x4